Below is Tb3In5Ru after structural relaxation, with properties calculated at the PBE level.

ΔE_f: -0.435 eV per atom
SG: P-62m

a b c (Å): 4.544 7.494 7.494
angles (deg): 120.00 90.00 90.00
Positions (direct):
In (0.500, 0.000, 0.764)
In (0.500, 0.667, 0.333)
In (0.500, 0.333, 0.667)
In (0.500, 0.764, 0.000)
In (0.500, 0.236, 0.236)
Tb (0.000, 0.000, 0.389)
Tb (0.000, 0.389, 0.000)
Tb (0.000, 0.611, 0.611)
Ru (0.000, 0.000, 0.000)


Below is Tb4InRu2 after structural relaxation, with properties calculated at the PBE level.

ΔE_f: -0.245 eV per atom
SG: P1
energy above the lowest structure with this stoichiometry: 29.4 meV per atom

a b c (Å): 8.800 7.481 6.666
angles (deg): 81.24 114.22 118.11
Positions (direct):
Ru (0.622, 0.356, 0.314)
Ru (0.071, 0.390, 0.666)
Ru (0.726, 0.858, 0.343)
Ru (0.588, 0.327, 0.815)
Tb (0.453, 0.552, 0.938)
Tb (0.443, 0.534, 0.437)
Tb (0.896, 0.608, 0.697)
Tb (0.876, 0.278, 0.200)
Tb (0.152, 0.109, 0.594)
Tb (0.417, 0.978, 0.089)
Tb (0.888, 0.732, 0.169)
Tb (0.709, 0.077, 0.649)
In (0.270, 0.783, 0.537)
In (0.138, 0.170, 0.053)


Below is Tb3InRu after structural relaxation, with properties calculated at the PBE level.

ΔE_f: -0.397 eV per atom
SG: P-1

a b c (Å): 5.863 6.614 8.727
angles (deg): 112.13 77.66 124.56
Positions (direct):
In (0.498, 0.208, 0.500)
In (0.502, 0.792, 0.500)
Ru (0.000, 0.750, 0.000)
Ru (0.000, 0.250, 0.000)
Tb (0.884, 0.581, 0.279)
Tb (0.884, 0.803, 0.721)
Tb (0.500, 0.200, 0.901)
Tb (0.116, 0.419, 0.721)
Tb (0.500, 0.800, 0.099)
Tb (0.116, 0.197, 0.279)


Below is Tb12In5Ru3 after structural relaxation, with properties calculated at the PBE level.

ΔE_f: 0.242 eV per atom
SG: Ia-3d

a b c (Å): 14.964 14.964 14.964
angles (deg): 109.47 109.47 109.47
Positions (direct):
Tb (0.890, 0.835, 0.761)
Tb (0.610, 0.870, 0.445)
Tb (0.610, 0.739, 0.665)
Tb (0.870, 0.261, 0.426)
Tb (0.739, 0.610, 0.165)
Tb (0.870, 0.610, 0.945)
Tb (0.926, 0.555, 0.165)
Tb (0.261, 0.390, 0.835)
Tb (0.890, 0.055, 0.630)
Tb (0.445, 0.074, 0.335)
Tb (0.261, 0.870, 0.926)
Tb (0.835, 0.945, 0.074)
Tb (0.761, 0.335, 0.890)
Tb (0.074, 0.630, 0.739)
Tb (0.370, 0.926, 0.761)
Tb (0.761, 0.426, 0.370)
Tb (0.630, 0.074, 0.239)
Tb (0.239, 0.574, 0.630)
Tb (0.835, 0.890, 0.261)
Tb (0.555, 0.926, 0.665)
Tb (0.110, 0.165, 0.239)
Tb (0.390, 0.130, 0.555)
Tb (0.130, 0.390, 0.055)
Tb (0.335, 0.574, 0.445)
Tb (0.165, 0.110, 0.739)
Tb (0.630, 0.555, 0.890)
Tb (0.739, 0.130, 0.074)
Tb (0.574, 0.239, 0.130)
Tb (0.426, 0.761, 0.870)
Tb (0.110, 0.945, 0.370)
Tb (0.555, 0.630, 0.390)
Tb (0.055, 0.890, 0.130)
Tb (0.335, 0.761, 0.390)
Tb (0.665, 0.239, 0.610)
Tb (0.239, 0.665, 0.110)
Tb (0.165, 0.055, 0.926)
Tb (0.665, 0.426, 0.555)
Tb (0.130, 0.739, 0.574)
Tb (0.945, 0.835, 0.574)
Tb (0.574, 0.335, 0.945)
Tb (0.945, 0.110, 0.870)
Tb (0.055, 0.165, 0.426)
Tb (0.370, 0.445, 0.110)
Tb (0.390, 0.261, 0.335)
Tb (0.426, 0.665, 0.055)
Tb (0.074, 0.445, 0.835)
Tb (0.926, 0.370, 0.261)
Tb (0.445, 0.370, 0.610)
Ru (0.250, 0.625, 0.875)
Ru (0.750, 0.875, 0.625)
Ru (0.875, 0.125, 0.250)
Ru (0.875, 0.750, 0.125)
Ru (0.375, 0.625, 0.250)
Ru (0.625, 0.375, 0.750)
Ru (0.250, 0.125, 0.375)
Ru (0.375, 0.750, 0.625)
Ru (0.625, 0.250, 0.375)
Ru (0.125, 0.250, 0.875)
Ru (0.125, 0.875, 0.750)
Ru (0.750, 0.375, 0.125)
In (0.625, 0.875, 0.250)
In (0.000, 0.000, 0.000)
In (0.000, 0.500, 0.500)
In (0.250, 0.375, 0.625)
In (0.000, 0.000, 0.500)
In (0.750, 0.125, 0.875)
In (0.375, 0.250, 0.125)
In (0.125, 0.375, 0.250)
In (0.875, 0.250, 0.625)
In (0.375, 0.125, 0.750)
In (0.500, 0.000, 0.500)
In (0.250, 0.875, 0.125)
In (0.125, 0.750, 0.375)
In (0.875, 0.625, 0.750)
In (0.750, 0.625, 0.375)
In (0.500, 0.500, 0.500)
In (0.625, 0.750, 0.875)
In (0.500, 0.500, 0.000)
In (0.000, 0.500, 0.000)
In (0.500, 0.000, 0.000)